[1]
# Sn3GeI

A relaxed structure of Sn3GeI (PBE-GGA, Alexandria via LeMat-Bulk).

Cell: 5.829 5.829 5.829 Å, 90.00 90.00 90.00°
Element x y z (fractional)
I 0.000 0.000 0.000
Ge 0.500 0.500 0.500
Sn 0.000 0.500 0.000
Sn 0.000 0.000 0.500
Sn 0.500 0.000 0.000

## Properties
As for the energy relative to the lowest polymorph listed for this composition: 584 meV per atom.



[2]
# Rb2LaCl6

A relaxed structure of Rb2LaCl6 (PBE-GGA, Alexandria via LeMat-Bulk).

Cell: 4.502 8.410 8.422 Å, 119.95 90.00 90.00°
Each line ends with the local moment (μB).
Element x y z (fractional)
Rb 0.000 0.333 0.666  0.00
Rb 0.000 0.666 0.334  0.00
La 0.500 0.001 0.000  -0.01
Cl 0.500 0.653 0.000  0.16
Cl 0.500 0.348 0.348  0.15
Cl 0.500 0.999 0.652  0.15
Cl 0.000 0.234 0.000  0.13
Cl 0.000 0.767 0.767  0.14
Cl 0.000 0.000 0.233  0.14



[3]
# SrCaAcHg

A relaxed structure of SrCaAcHg (PBE-GGA, Alexandria via LeMat-Bulk).

Cell: 5.951 5.951 5.951 Å, 60.00 60.00 60.00°
Element x y z (fractional)
Sr 0.250 0.250 0.250
Ac 0.750 0.750 0.750
Ca 0.500 0.500 0.500
Hg 0.000 0.000 0.000

## Properties
Its formation energy is -0.0818 eV per atom.



[4]
# MgHgF3

A relaxed structure of MgHgF3 (PBE-GGA, Alexandria via LeMat-Bulk).

Cell: 4.065 4.065 4.065 Å, 90.00 90.00 90.00°
Element x y z (fractional)
Mg 0.000 0.000 0.000
Hg 0.500 0.500 0.500
F 0.000 0.500 0.000
F 0.000 0.000 0.500
F 0.500 0.000 0.000

## Properties
As for the energy relative to the lowest polymorph listed for this composition: 0 meV per atom.



[5]
# NaSiSn

A relaxed structure of NaSiSn (PBE-GGA, Alexandria via LeMat-Bulk).

Cell: 7.380 3.935 12.037 Å, 90.00 111.48 90.00°
Element x y z (fractional)
Na 0.500 0.000 0.500
Na 0.500 0.500 0.000
Na 0.000 0.500 0.000
Na 0.000 0.000 0.500
Si 0.414 0.000 0.744
Si 0.586 0.000 0.256
Si 0.414 0.500 0.244
Si 0.586 0.500 0.756
Sn 0.132 0.000 0.831
Sn 0.868 0.000 0.169
Sn 0.132 0.500 0.331
Sn 0.868 0.500 0.669

## Properties
As for the energy relative to the lowest polymorph listed for this composition: 42 meV per atom.



[6]
# SbTe2W

A relaxed structure of SbTe2W (PBE-GGA, Alexandria via LeMat-Bulk).

Cell: 7.005 7.005 7.431 Å, 61.88 61.88 90.00°
Element x y z (fractional)
Sb 0.500 0.500 0.000
Sb 0.250 0.750 0.500
Te 0.683 0.125 0.250
Te 0.067 0.625 0.250
Te 0.375 0.317 0.750
Te 0.875 0.933 0.750
W 0.000 0.000 0.000
W 0.750 0.250 0.500



[7]
# MnHAu3

A relaxed structure of MnHAu3 (PBE-GGA, Alexandria via LeMat-Bulk).

Cell: 4.827 4.827 4.827 Å, 90.00 90.00 90.00°
Each line ends with the local moment (μB).
Element x y z (fractional)
H 0.500 0.500 0.500  0.35
Mn 0.000 0.000 0.000  -0.05
Au 0.000 0.500 0.000  0.00
Au 0.000 0.000 0.500  0.01
Au 0.500 0.000 0.000  0.03

## Properties
As for the energy relative to the lowest polymorph listed for this composition: 1231 meV per atom.



[8]
# SrCuReSn2

A relaxed structure of SrCuReSn2 (PBE-GGA, Alexandria via LeMat-Bulk).

Cell: 5.690 4.822 5.690 Å, 90.00 90.00 90.00°
Element x y z (fractional)
Re 0.500 0.500 0.500
Sn 0.000 0.000 0.500
Sn 0.500 0.000 0.000
Cu 0.000 0.500 0.000
Sr 0.000 0.000 0.000

## Properties
Its formation energy is 2.3405 eV per atom.



[9]
# ReRu2Cl

A relaxed structure of ReRu2Cl (PBE-GGA, Alexandria via LeMat-Bulk).

Cell: 8.635 8.635 8.635 Å, 18.80 18.80 18.80°
Element x y z (fractional)
Cl 0.499 0.499 0.499
Re 0.750 0.750 0.750
Ru 0.000 0.000 0.000
Ru 0.250 0.250 0.250

## Properties
As for the energy relative to the lowest polymorph listed for this composition: 140 meV per atom.



[10]
# CaMnIr2

A relaxed structure of CaMnIr2 (PBE-GGA, Alexandria via LeMat-Bulk).

Cell: 8.848 8.848 8.848 Å, 19.43 19.43 19.43°
Each line ends with the local moment (μB).
Element x y z (fractional)
Ca 0.750 0.750 0.750  0.03
Ir 0.991 0.991 0.991  0.10
Ir 0.509 0.509 0.509  0.10
Mn 0.250 0.250 0.250  3.39

## Properties
As for the energy relative to the lowest polymorph listed for this composition: 296 meV per atom. Its formation energy is 0.1726 eV per atom.



[11]
# ZnInSe2N

A relaxed structure of ZnInSe2N (PBE-GGA, Alexandria via LeMat-Bulk).

Cell: 5.403 5.403 4.171 Å, 90.00 90.00 90.00°
Each line ends with the local moment (μB).
Element x y z (fractional)
Zn 0.500 0.500 0.500  -0.01
N 0.000 0.000 0.500  1.09
Se 0.000 0.500 0.000  0.17
Se 0.500 0.000 0.000  0.17
In 0.000 0.000 0.000  -0.01

## Properties
As for the energy relative to the lowest polymorph listed for this composition: 236 meV per atom.



[12]
# CoSbSe

A relaxed structure of CoSbSe (PBE-GGA, Alexandria via LeMat-Bulk).

Cell: 4.339 4.339 4.339 Å, 60.00 60.00 60.00°
Element x y z (fractional)
Co 0.250 0.250 0.250
Sb 0.000 0.000 0.000
Se 0.500 0.500 0.500



[13]
# FeHgBr2

A relaxed structure of FeHgBr2 (PBE-GGA, Alexandria via LeMat-Bulk).

Cell: 10.672 10.672 10.672 Å, 19.39 19.39 19.39°
Element x y z (fractional)
Hg 0.000 0.000 0.000
Br 0.875 0.875 0.875
Br 0.125 0.125 0.125
Fe 0.500 0.500 0.500

## Properties
As for the energy relative to the lowest polymorph listed for this composition: 118 meV per atom.



[14]
# TiZnIN2

A relaxed structure of TiZnIN2 (PBE-GGA, Alexandria via LeMat-Bulk).

Cell: 3.928 3.928 5.982 Å, 90.00 90.00 90.00°
Each line ends with the local moment (μB).
Element x y z (fractional)
I 0.000 0.000 0.500  0.00
Zn 0.500 0.500 0.500  0.00
N 0.000 0.500 0.000  0.06
N 0.500 0.000 0.000  0.06
Ti 0.000 0.000 0.000  -0.02

## Properties
As for the energy relative to the lowest polymorph listed for this composition: 0 meV per atom.



[15]
# PmEr5In2

A relaxed structure of PmEr5In2 (PBE-GGA, Alexandria via LeMat-Bulk).

Cell: 5.193 6.404 15.755 Å, 90.00 90.00 113.92°
Element x y z (fractional)
Pm 0.740 0.480 0.750
Pm 0.260 0.520 0.250
Er 0.958 0.916 0.897
Er 0.958 0.916 0.603
Er 0.360 0.720 0.468
Er 0.360 0.720 0.032
Er 0.540 0.079 0.250
Er 0.460 0.921 0.750
Er 0.640 0.280 0.532
Er 0.640 0.280 0.968
Er 0.042 0.084 0.103
Er 0.042 0.084 0.397
In 0.774 0.548 0.363
In 0.774 0.548 0.137
In 0.226 0.452 0.637
In 0.226 0.452 0.863

## Properties
Its formation energy is -0.1396 eV per atom.



[16]
# PmTh2N4

A relaxed structure of PmTh2N4 (PBE-GGA, Alexandria via LeMat-Bulk).

Cell: 6.545 6.545 6.545 Å, 108.10 112.24 108.10°
Element x y z (fractional)
Pm 0.000 0.000 0.000
Pm 0.750 0.500 0.250
Th 0.875 0.110 0.485
Th 0.515 0.390 0.625
Th 0.375 0.890 0.765
Th 0.235 0.610 0.125
N 0.125 0.885 0.383
N 0.617 0.742 0.502
N 0.991 0.615 0.748
N 0.252 0.242 0.867
N 0.625 0.758 0.009
N 0.759 0.258 0.875
N 0.498 0.115 0.241
N 0.133 0.385 0.375



[17]
# Pa2NbSe

A relaxed structure of Pa2NbSe (PBE-GGA, Alexandria via LeMat-Bulk).

Cell: 3.550 3.550 8.923 Å, 78.53 78.53 60.00°
Element x y z (fractional)
Nb 0.500 0.500 0.500
Pa 0.748 0.748 0.756
Pa 0.252 0.252 0.244
Se 0.000 0.000 0.000

## Properties
As for the energy relative to the lowest polymorph listed for this composition: 158 meV per atom.



[18]
# LiPmAsPt

A relaxed structure of LiPmAsPt (PBE-GGA, Alexandria via LeMat-Bulk).

Cell: 4.771 4.771 4.771 Å, 60.00 60.00 60.00°
Element x y z (fractional)
As 0.500 0.500 0.500
Li 0.250 0.250 0.250
Pt 0.750 0.750 0.750
Pm 0.000 0.000 0.000

## Properties
Its formation energy is -0.6837 eV per atom.



[19]
# Mn2CdN

A relaxed structure of Mn2CdN (PBE-GGA, Alexandria via LeMat-Bulk).

Cell: 6.038 6.038 5.265 Å, 55.01 55.01 90.00°
Each line ends with the local moment (μB).
Element x y z (fractional)
N 0.500 0.500 0.000  -0.15
N 0.250 0.750 0.500  -0.15
Mn 0.492 0.125 0.250  2.15
Mn 0.258 0.625 0.250  2.16
Mn 0.375 0.508 0.750  2.14
Mn 0.875 0.742 0.750  2.15
Cd 0.000 0.000 0.000  -0.05
Cd 0.750 0.250 0.500  -0.05

## Properties
As for the energy relative to the lowest polymorph listed for this composition: 0 meV per atom.



[20]
# TaCrIr2

A relaxed structure of TaCrIr2 (PBE-GGA, Alexandria via LeMat-Bulk).

Cell: 9.130 9.130 9.130 Å, 17.48 17.48 17.48°
Element x y z (fractional)
Cr 0.745 0.745 0.745
Ir 0.005 0.005 0.005
Ir 0.250 0.250 0.250
Ta 0.500 0.500 0.500

## Properties
As for the energy relative to the lowest polymorph listed for this composition: 439 meV per atom. Its formation energy is 0.0012 eV per atom.



no.,E (eV per atom)
1,-2.6362
2,-3.8686
3,-2.1052
4,-3.9064
5,-3.5566
6,-5.0263
7,-2.9822
8,-2.9058
9,-7.7713
10,-7.0507
11,-2.9710
12,-4.9240
13,-3.1088
14,-5.1284
15,-4.2699
16,-8.8279
17,-8.3044
18,-5.0224
19,-6.7839
20,-9.7983